(1)
The following is a GGA-PBE calculation of a relaxed structure of Dy8Si3SeS4, from the Alexandria database.

a b c (Å): 8.0595 8.0595 19.6773
angles (deg): 90.00 90.00 120.00
Space group R-3m (No. 166, hexagonal axes)
Symmetry-distinct sites (fractional):
Dy (0.0000, 0.0000, 0.2494) x6
Dy (0.0075, 0.5038, 0.7504) x18
Si (0.0000, 0.5000, 0.5000) x9
Se (0.0000, 0.0000, 0.5000) x3
S (0.0000, 0.0000, 0.0000) x3
S (0.0000, 0.5000, 0.0000) x9

Summary:
* electronic total energy: -293.3 eV/cell

---

(2)
The following is a GGA-PBE calculation of a relaxed structure of Dy6SiSe2S3, from the Alexandria database.

a b c (Å): 6.9528 12.0427 6.9192
angles (deg): 90.00 109.57 90.00
Space group C2/m (No. 12)
Symmetry-distinct sites (fractional):
Dy (0.2340, 0.0000, 0.2417) x4
Dy (0.2463, 0.1599, 0.7599) x8
Si (0.0000, 0.0000, 0.5000) x2
Se (0.0000, 0.3334, 0.5000) x4
S (0.0000, 0.1700, 0.0000) x4
S (0.0000, 0.5000, 0.0000) x2

Summary:
* electronic total energy: -146.9 eV/cell

---

(3)
The following is a GGA-PBE calculation of a relaxed structure of Dy4SiSe2S, from the Alexandria database.

a b c (Å): 6.9772 4.0434 7.1052
angles (deg): 90.00 109.33 90.00
Space group P2/m (No. 10)
Symmetry-distinct sites (fractional):
Dy (0.2423, 0.0000, 0.2338) x2
Dy (0.2535, 0.5000, 0.7693) x2
Si (0.0000, 0.5000, 0.0000) x1
Se (0.0000, 0.0000, 0.5000) x1
Se (0.5000, 0.5000, 0.5000) x1
S (0.5000, 0.0000, 0.0000) x1

Summary:
* electronic total energy: -48.0 eV/cell

---

(4)
The following is a GGA-PBE calculation of a relaxed structure of Sm2Dy2Se2S3, from the Alexandria database.

a b c (Å): 5.3787 5.3787 14.8722
angles (deg): 90.00 90.00 90.00
Space group I4/mmm (No. 139)
Symmetry-distinct sites (fractional):
Sm (0.0000, 0.0000, 0.2012) x4
Dy (0.0000, 0.5000, 0.0000) x4
Se (0.0000, 0.0000, 0.3979) x4
S (0.0000, 0.0000, 0.0000) x2
S (0.0000, 0.5000, 0.2500) x4

Summary:
* electronic total energy: -106.4 eV/cell

---

(5)
The following is a GGA-PBE calculation of a relaxed structure of SmDySeS, from the Alexandria database.

a b c (Å): 3.9404 3.9404 21.0143
angles (deg): 90.00 90.00 120.00
Space group R3m (No. 160, hexagonal axes)
Symmetry-distinct sites (fractional):
Sm (0.0000, 0.0000, 0.0000) x3
Dy (0.0000, 0.0000, 0.1845) x3
Se (0.0000, 0.0000, 0.4271) x3
S (0.0000, 0.0000, 0.5913) x3

Summary:
* electronic total energy: -73.6 eV/cell

---

(6)
The following is a GGA-PBE calculation of a relaxed structure of Sm2Dy2Se3S2, from the Alexandria database.

a b c (Å): 5.6102 5.6102 14.3023
angles (deg): 90.00 90.00 90.00
Space group I4/mmm (No. 139)
Symmetry-distinct sites (fractional):
Sm (0.0000, 0.0000, 0.2121) x4
Dy (0.0000, 0.5000, 0.0000) x4
Se (0.0000, 0.0000, 0.0000) x2
Se (0.0000, 0.5000, 0.2500) x4
S (0.0000, 0.0000, 0.4023) x4

Summary:
* electronic total energy: -102.8 eV/cell

---

(7)
The following is a GGA-PBE calculation of a relaxed structure of Dy4SnSeS2, from the Alexandria database.

a b c (Å): 7.0799 4.0443 7.1039
angles (deg): 90.00 109.25 90.00
Space group P2/m (No. 10)
Symmetry-distinct sites (fractional):
Dy (0.2365, 0.0000, 0.2276) x2
Dy (0.2537, 0.5000, 0.7684) x2
Sn (0.5000, 0.5000, 0.5000) x1
Se (0.0000, 0.0000, 0.5000) x1
S (0.0000, 0.5000, 0.0000) x1
S (0.5000, 0.0000, 0.0000) x1

Summary:
* electronic total energy: -46.9 eV/cell

---

(8)
The following is a GGA-PBE calculation of a relaxed structure of Dy6SnSe3S2, from the Alexandria database.

a b c (Å): 17.8644 4.0557 8.2216
angles (deg): 90.00 103.86 90.00
Space group C2/m (No. 12)
Symmetry-distinct sites (fractional):
Dy (0.0072, 0.0000, 0.2617) x4
Dy (0.1706, 0.5000, 0.1052) x4
Dy (0.1730, 0.5000, 0.5726) x4
Sn (0.0000, 0.5000, 0.0000) x2
Se (0.0000, 0.5000, 0.5000) x2
Se (0.1642, 0.0000, 0.8321) x4
S (0.1685, 0.0000, 0.3378) x4

Summary:
* electronic total energy: -140.1 eV/cell

---

(9)
The following is a GGA-PBE calculation of a relaxed structure of Dy4SnSe2S, from the Alexandria database.

a b c (Å): 8.2397 8.2727 11.6931
angles (deg): 90.00 90.00 90.00
Space group Imma (No. 74)
Symmetry-distinct sites (fractional):
Dy (0.0000, 0.0125, 0.2477) x8
Dy (0.2432, 0.2500, 0.0060) x8
Sn (0.0000, 0.0000, 0.5000) x4
Se (0.0000, 0.0000, 0.0000) x4
Se (0.2500, 0.2500, 0.7500) x4
S (0.2500, 0.2500, 0.2500) x4

Summary:
* electronic total energy: -183.2 eV/cell

---

(10)
The following is a GGA-PBE calculation of a relaxed structure of SrDySeS, from the Alexandria database.

a b c (Å): 4.0461 4.0461 21.8533
angles (deg): 90.00 90.00 120.00
Space group R3m (No. 160, hexagonal axes)
Symmetry-distinct sites (fractional):
Sr (0.0000, 0.0000, 0.0000) x3
Dy (0.0000, 0.0000, 0.1679) x3
Se (0.0000, 0.0000, 0.5771) x3
S (0.0000, 0.0000, 0.7598) x3

Summary:
* electronic total energy: -63.9 eV/cell

---

(11)
The following is a GGA-PBE calculation of a relaxed structure of Tb2Dy2Se3S2, from the Alexandria database.

a b c (Å): 5.5678 5.5678 14.0622
angles (deg): 90.00 90.00 90.00
Space group I4/mmm (No. 139)
Symmetry-distinct sites (fractional):
Tb (0.0000, 0.0000, 0.2127) x4
Dy (0.0000, 0.5000, 0.0000) x4
Se (0.0000, 0.0000, 0.0000) x2
Se (0.0000, 0.5000, 0.2500) x4
S (0.0000, 0.0000, 0.4014) x4

Summary:
* electronic total energy: -102.8 eV/cell

---

(12)
The following is a GGA-PBE calculation of a relaxed structure of Tb2Dy2Se2S3, from the Alexandria database.

a b c (Å): 5.3497 5.3497 14.5927
angles (deg): 90.00 90.00 90.00
Space group I4/mmm (No. 139)
Symmetry-distinct sites (fractional):
Tb (0.0000, 0.0000, 0.2022) x4
Dy (0.0000, 0.5000, 0.0000) x4
Se (0.0000, 0.0000, 0.3972) x4
S (0.0000, 0.0000, 0.0000) x2
S (0.0000, 0.5000, 0.2500) x4

Summary:
* electronic total energy: -106.1 eV/cell

---

(13)
The following is a GGA-PBE calculation of a relaxed structure of Tb2DySe2S2, from the Alexandria database.

a b c (Å): 5.0745 5.0745 14.4970
angles (deg): 90.00 90.00 90.00
Space group I4/mmm (No. 139)
Symmetry-distinct sites (fractional):
Tb (0.0000, 0.0000, 0.1196) x4
Dy (0.0000, 0.0000, 0.5000) x2
Se (0.0000, 0.0000, 0.3095) x4
S (0.0000, 0.5000, 0.0000) x4

Summary:
* electronic total energy: -79.2 eV/cell

---

(14)
The following is a GGA-PBE calculation of a relaxed structure of Dy8Te4Se3S, from the Alexandria database.

a b c (Å): 8.3535 8.3535 20.8283
angles (deg): 90.00 90.00 120.00
Space group R-3m (No. 166, hexagonal axes)
Symmetry-distinct sites (fractional):
Dy (0.0000, 0.0000, 0.2383) x6
Dy (0.0155, 0.5078, 0.2365) x18
Te (0.0000, 0.0000, 0.0000) x3
Te (0.0000, 0.5000, 0.0000) x9
Se (0.0000, 0.5000, 0.5000) x9
S (0.0000, 0.0000, 0.5000) x3

Summary:
* electronic total energy: -267.0 eV/cell

---

(15)
The following is a GGA-PBE calculation of a relaxed structure of Dy6Te3Se2S, from the Alexandria database.

a b c (Å): 7.2026 12.5018 7.3459
angles (deg): 90.00 109.04 90.00
Space group C2/m (No. 12)
Symmetry-distinct sites (fractional):
Dy (0.2262, 0.1569, 0.2090) x8
Dy (0.2421, 0.0000, 0.7856) x4
Te (0.0000, 0.1721, 0.5000) x4
Te (0.0000, 0.5000, 0.5000) x2
Se (0.0000, 0.3342, 0.0000) x4
S (0.0000, 0.0000, 0.0000) x2

Summary:
* electronic total energy: -134.2 eV/cell

---

(16)
The following is a GGA-PBE calculation of a relaxed structure of Dy3TeSeS, from the Alexandria database.

a b c (Å): 6.8017 14.5414 6.7542
angles (deg): 90.00 108.56 90.00
Space group C2/c (No. 15)
Symmetry-distinct sites (fractional):
Dy (0.0000, 0.2445, 0.2500) x4
Dy (0.2367, 0.0708, 0.9990) x8
Te (0.0000, 0.2511, 0.7500) x4
Se (0.0000, 0.4354, 0.2500) x4
S (0.0000, 0.0612, 0.2500) x4

Summary:
* electronic total energy: -134.0 eV/cell

---

(17)
The following is a GGA-PBE calculation of a relaxed structure of Dy4TeSe2S, from the Alexandria database.

a b c (Å): 7.1265 4.0836 7.1830
angles (deg): 90.00 109.23 90.00
Space group P2/m (No. 10)
Symmetry-distinct sites (fractional):
Dy (0.2384, 0.0000, 0.2188) x2
Dy (0.2580, 0.5000, 0.7850) x2
Te (0.0000, 0.0000, 0.5000) x1
Se (0.5000, 0.0000, 0.0000) x1
Se (0.5000, 0.5000, 0.5000) x1
S (0.0000, 0.5000, 0.0000) x1

Summary:
* electronic total energy: -46.0 eV/cell

---

(18)
The following is a GGA-PBE calculation of a relaxed structure of Dy2TeSeS, from the Alexandria database.

a b c (Å): 16.4761 4.3473 10.9339
angles (deg): 90.00 131.52 90.00
Space group C2/m (No. 12)
Symmetry-distinct sites (fractional):
Dy (0.1019, 0.0000, 0.3580) x4
Dy (0.1633, 0.5000, 0.0633) x4
Te (0.1994, 0.5000, 0.6327) x4
Se (0.1286, 0.0000, 0.8618) x4
S (0.0603, 0.5000, 0.1840) x4

Summary:
* electronic total energy: -114.8 eV/cell

---

(19)
The following is a GGA-PBE calculation of a relaxed structure of Dy6TeSe2S3, from the Alexandria database.

a b c (Å): 17.7044 4.0106 8.1636
angles (deg): 90.00 104.35 90.00
Space group C2/m (No. 12)
Symmetry-distinct sites (fractional):
Dy (0.0058, 0.0000, 0.2209) x4
Dy (0.1607, 0.5000, 0.0976) x4
Dy (0.1779, 0.5000, 0.5682) x4
Te (0.0000, 0.5000, 0.5000) x2
Se (0.1675, 0.0000, 0.8329) x4
S (0.0000, 0.5000, 0.0000) x2
S (0.1645, 0.0000, 0.3301) x4

Summary:
* electronic total energy: -143.4 eV/cell

---

(20)
The following is a GGA-PBE calculation of a relaxed structure of Dy6TeSe3S2, from the Alexandria database.

a b c (Å): 17.7517 4.0455 8.2147
angles (deg): 90.00 103.57 90.00
Space group C2/m (No. 12)
Symmetry-distinct sites (fractional):
Dy (0.0122, 0.0000, 0.2754) x4
Dy (0.1708, 0.5000, 0.5713) x4
Dy (0.1753, 0.5000, 0.1137) x4
Te (0.0000, 0.5000, 0.0000) x2
Se (0.0000, 0.5000, 0.5000) x2
Se (0.1607, 0.0000, 0.8358) x4
S (0.1706, 0.0000, 0.3403) x4

Summary:
* electronic total energy: -140.4 eV/cell

---

(21)
The following is a GGA-PBE calculation of a relaxed structure of Dy4Te2SeS, from the Alexandria database.

a b c (Å): 7.2260 4.1176 7.3316
angles (deg): 90.00 108.86 90.00
Space group P2/m (No. 10)
Symmetry-distinct sites (fractional):
Dy (0.2241, 0.0000, 0.2057) x2
Dy (0.2496, 0.5000, 0.7905) x2
Te (0.0000, 0.0000, 0.5000) x1
Te (0.5000, 0.5000, 0.5000) x1
Se (0.5000, 0.0000, 0.0000) x1
S (0.0000, 0.5000, 0.0000) x1

Summary:
* electronic total energy: -45.1 eV/cell

---

(22)
The following is a GGA-PBE calculation of a relaxed structure of Dy6TlSe3S2, from the Alexandria database.

a b c (Å): 17.8717 3.9886 8.3483
angles (deg): 90.00 103.95 90.00
Space group C2/m (No. 12)
Symmetry-distinct sites (fractional):
Dy (0.0064, 0.0000, 0.2648) x4
Dy (0.1706, 0.5000, 0.1020) x4
Dy (0.1713, 0.5000, 0.5718) x4
Tl (0.0000, 0.5000, 0.0000) x2
Se (0.0000, 0.5000, 0.5000) x2
Se (0.1649, 0.0000, 0.8304) x4
S (0.1696, 0.0000, 0.3378) x4

Summary:
* electronic total energy: -134.9 eV/cell